No. 1
NbCrIN2: relaxed, PBE.

extended XYZ file:
```
5
Lattice="-3.6233 1.2129 -1.5318 -1.3399 -4.7048 -0.5559 -1.6007 0.0078 3.7925" Properties=species:S:1:pos:R:3 pbc="T T T"
I 0.0000 0.0000 0.0000
Cr -0.6699 -2.3524 -0.2780
Nb -3.2820 -1.7421 0.8524
N -0.8004 0.0039 1.8963
N -1.8117 0.6064 -0.7659
```

As for the distance to the lowest polymorph of the same formula: 1164 meV per atom. The calculation puts the density of states at the Fermi level at 0.546 states/eV/atom. Its uncorrected formation energy is 2.246 eV per atom. The total energy is -5.3325 eV/atom.

No. 2
RbMg2GaOs: relaxed, PBE.

extended XYZ file:
```
5
Lattice="5.1931 0.0000 0.0000 0.0000 5.1931 0.0000 0.0000 0.0000 4.9241" Properties=species:S:1:pos:R:3 pbc="T T T"
Mg 0.0000 2.5966 0.0000
Mg 2.5966 0.0000 0.0000
Os 0.0000 0.0000 0.0000
Ga 0.0000 0.0000 2.4621
Rb 2.5966 2.5966 2.4621
```

The calculation puts the density of states at the Fermi level at 0.234 states/eV/atom. The total energy is -3.5448 eV/atom.